Density functional theory data (PBE) for UGa2Tc after structural relaxation.

Computed properties:
Energy of formation   -96 meV/atom
Offset from the most stable computed form   185 meV per atom
Electronic total energy   -28.091 eV per cell
Size of the total moment   0.59 μB/cell

```
UGa2Tc
1.0
-2.8563 -0.3102 -3.6111
-3.2219 -3.3017 -0.1165
-4.4549 1.1054 0.4802
Ga Tc U
2 1 1
Direct
0.2500 0.2500 0.2499 Ga
0.7500 0.7500 0.7501 Ga
0.0000 0.0000 0.0000 Tc
0.5000 0.5000 0.5000 U
```